# SnSbTe2O, relaxed, DFT GGA-PBE
# Crystal system   tetragonal
# Excess energy over the best structure of this formula in the dataset   1168.1 meV per atom
# ρ   4.7 g cm⁻³
# Formation energy from raw total energies   1.179 eV per atom
data_SnSbTe2O
_symmetry_space_group_name_H-M 'P 4/m m m'
_symmetry_Int_Tables_number 123
_symmetry_space_group_name_Hall '-P 4 2'
_cell_length_a 5.6283
_cell_length_b 5.6283
_cell_length_c 5.7484
_cell_angle_alpha 90.00
_cell_angle_beta 90.00
_cell_angle_gamma 90.00
loop_
_atom_site_label
_atom_site_type_symbol
_atom_site_fract_x
_atom_site_fract_y
_atom_site_fract_z
Sn1 Sn 0.0000 0.0000 0.0000
Sb1 Sb 0.0000 0.0000 0.5000
Te1 Te 0.0000 0.5000 0.0000
O1 O 0.5000 0.5000 0.5000


# SnSbTe2O, relaxed, DFT GGA-PBE
# Crystal system   tetragonal
# Excess energy over the best structure of this formula in the dataset   0.0 meV per atom
# ρ   7.1 g cm⁻³
# Formation energy from raw total energies   0.011 eV per atom
data_SnSbTe2O
_symmetry_space_group_name_H-M 'P 4/m m m'
_symmetry_Int_Tables_number 123
_symmetry_space_group_name_Hall '-P 4 2'
_cell_length_a 4.9397
_cell_length_b 4.9397
_cell_length_c 4.9027
_cell_angle_alpha 90.00
_cell_angle_beta 90.00
_cell_angle_gamma 90.00
loop_
_atom_site_label
_atom_site_type_symbol
_atom_site_fract_x
_atom_site_fract_y
_atom_site_fract_z
Sn1 Sn 0.0000 0.0000 0.0000
Sb1 Sb 0.5000 0.5000 0.0000
Te1 Te 0.0000 0.5000 0.5000
O1 O 0.5000 0.5000 0.5000


# TiSnSbO6, relaxed, DFT GGA-PBE
# Crystal system   trigonal
# ρ   5.7 g cm⁻³
# Formation energy from raw total energies   -1.866 eV per atom
data_TiSnSbO6
_symmetry_space_group_name_H-M 'P -3 1 c'
_symmetry_Int_Tables_number 163
_symmetry_space_group_name_Hall '-P 3 2c'
_cell_length_a 5.2440
_cell_length_b 5.2440
_cell_length_c 9.4609
_cell_angle_alpha 90.00
_cell_angle_beta 90.00
_cell_angle_gamma 120.00
loop_
_atom_site_label
_atom_site_type_symbol
_atom_site_fract_x
_atom_site_fract_y
_atom_site_fract_z
Ti1 Ti 0.3333 0.6667 0.2500
Sn1 Sn 0.0000 0.0000 0.0000
Sb1 Sb 0.3333 0.6667 0.7500
O1 O 0.0035 0.3592 0.1355


# TiSnSb2O, relaxed, DFT GGA-PBE
# Crystal system   tetragonal
# ρ   6.4 g cm⁻³
# Formation energy from raw total energies   -0.405 eV per atom
data_TiSnSb2O
_symmetry_space_group_name_H-M 'P 4/m m m'
_symmetry_Int_Tables_number 123
_symmetry_space_group_name_Hall '-P 4 2'
_cell_length_a 5.3593
_cell_length_b 5.3593
_cell_length_c 3.8347
_cell_angle_alpha 90.00
_cell_angle_beta 90.00
_cell_angle_gamma 90.00
loop_
_atom_site_label
_atom_site_type_symbol
_atom_site_fract_x
_atom_site_fract_y
_atom_site_fract_z
Ti1 Ti 0.0000 0.0000 0.0000
Sn1 Sn 0.5000 0.5000 0.0000
Sb1 Sb 0.0000 0.5000 0.5000
O1 O 0.0000 0.0000 0.5000


# TlSn2SbO8, relaxed, DFT GGA-PBE
# Crystal system   orthorhombic
# ρ   7.3 g cm⁻³
# Formation energy from raw total energies   -1.344 eV per atom
data_TlSn2SbO8
_symmetry_space_group_name_H-M 'C m m m'
_symmetry_Int_Tables_number 65
_symmetry_space_group_name_Hall '-C 2 2'
_cell_length_a 6.8535
_cell_length_b 6.8906
_cell_length_c 6.6219
_cell_angle_alpha 90.00
_cell_angle_beta 90.00
_cell_angle_gamma 90.00
loop_
_atom_site_label
_atom_site_type_symbol
_atom_site_fract_x
_atom_site_fract_y
_atom_site_fract_z
Tl1 Tl 0.0000 0.0000 0.0000
Sn1 Sn 0.0000 0.5000 0.2529
Sb1 Sb 0.0000 0.0000 0.5000
O1 O 0.0000 0.3002 0.5000
O2 O 0.0000 0.3182 0.0000
O3 O 0.1961 0.0000 0.2765


# TlSn2SbO, relaxed, DFT GGA-PBE
# Crystal system   tetragonal
# ρ   7.9 g cm⁻³
# Formation energy from raw total energies   -0.176 eV per atom
data_TlSn2SbO
_symmetry_space_group_name_H-M 'P 4/m m m'
_symmetry_Int_Tables_number 123
_symmetry_space_group_name_Hall '-P 4 2'
_cell_length_a 5.0547
_cell_length_b 5.0547
_cell_length_c 4.7649
_cell_angle_alpha 90.00
_cell_angle_beta 90.00
_cell_angle_gamma 90.00
loop_
_atom_site_label
_atom_site_type_symbol
_atom_site_fract_x
_atom_site_fract_y
_atom_site_fract_z
Tl1 Tl 0.0000 0.0000 0.0000
Sn1 Sn 0.0000 0.5000 0.5000
Sb1 Sb 0.5000 0.5000 0.0000
O1 O 0.5000 0.5000 0.5000


Fermi-level density of states list, top to bottom, in states/eV per cell: 14.000; 3.123; 7.098; 4.269; 4.398; 1.680
Size of the total moment list, top to bottom, in μB/f.u.: 0.0; 0.0; 0.0; 0.0; 0.0; 0.0